Compound: MnZnSnS4
Source: the Alexandria database
Functional: PBE-GGA
Structure: optimized geometry

Properties
N(E_F)   5.0 states/eV per cell
Volume   20.757 Å³/atom
Total moment   0.66 μB per atom
DFT total energy   -0.363 Ry per atom
Space-group type   No. 74
Uncorrected formation energy   -0.520 eV per atom

Cell lengths 7.4484, 7.4484, 7.4484 Å; angles 121.11, 119.57, 89.41 degrees
Closest atoms and distances in Å follow each position.
Atoms (fractional coordinates):
Mn (0.5000, 0.0000, 0.0000)  6 S 2.51-2.57
Mn (0.5000, 0.5000, 0.5000)  6 S 2.51-2.57
Zn (0.1079, 0.3579, 0.7500)  4 S 2.36-2.42
Zn (0.8921, 0.6421, 0.2500)  4 S 2.36-2.42
Sn (0.0000, 0.0000, 0.0000)  6 S 2.59-2.62
Sn (0.5000, 0.0000, 0.5000)  6 S 2.59-2.62
S (0.2574, 0.2572, 0.4999)  1 Zn 2.42, 1 Mn 2.57, 2 Sn 2.62
S (0.2574, 0.7575, 0.0001)  1 Zn 2.42, 1 Mn 2.57, 2 Sn 2.62
S (0.2646, 0.2441, 0.0205)  1 Zn 2.36, 2 Mn 2.51, 1 Sn 2.59
S (0.2764, 0.7559, 0.5205)  1 Zn 2.36, 2 Mn 2.51, 1 Sn 2.59
S (0.7236, 0.2441, 0.4795)  1 Zn 2.36, 2 Mn 2.51, 1 Sn 2.59
S (0.7354, 0.7559, 0.9795)  1 Zn 2.36, 2 Mn 2.51, 1 Sn 2.59
S (0.7426, 0.2425, 0.9999)  1 Zn 2.42, 1 Mn 2.57, 2 Sn 2.62
S (0.7426, 0.7428, 0.5001)  1 Zn 2.42, 1 Mn 2.57, 2 Sn 2.62